The following is a PBE-GGA calculation of an optimized crystal structure of BaNaFe2, from the Alexandria database.

The structure in CIF format:
```
data_BaNaFe2
_chemical_formula_sum 'Ba4 Na4 Fe8'
_cell_length_a 8.327
_cell_length_b 8.327
_cell_length_c 5.694
_cell_angle_alpha 90.00
_cell_angle_beta 90.00
_cell_angle_gamma 90.00
_space_group_name_H-M_alt 'I -4 2 d'
_space_group_IT_number 122
_space_group_name_Hall 'I -4 2bw'
loop_
_atom_site_label
_atom_site_type_symbol
_atom_site_fract_x
_atom_site_fract_y
_atom_site_fract_z
_atom_site_occupancy
Ba1 Ba 0.000 0.000 0.000 1
Na1 Na 0.000 0.000 0.500 1
Fe1 Fe 0.235 0.250 0.625 1
```

Summary:
Energy of formation from the pure elements: 1.136 eV/atom
Calculated density: 4.6 g/cm3
E above lowest polymorph: 0.0000 eV per atom
V: 395 Å³/cell
D(E_F): 1.033 states/eV per atom